Record 1
# Tb3YPu3Te8, relaxed, DFT PBE
data_Tb3YPu3Te8
_chemical_formula_sum 'Tb9 Y3 Pu9 Te24'
_cell_length_a 8.7720
_cell_length_b 8.7720
_cell_length_c 21.5776
_cell_angle_alpha 90.00
_cell_angle_beta 90.00
_cell_angle_gamma 120.00
_space_group_name_H-M_alt 'R -3 m'
_space_group_IT_number 166
_space_group_name_Hall '-R 3 2"'
loop_
_atom_site_label
_atom_site_fract_x
_atom_site_fract_y
_atom_site_fract_z
Tb1 0.0000 0.5000 0.0000
Y1 0.0000 0.0000 0.0000
Pu1 0.0000 0.5000 0.5000
Te1 0.0000 0.0000 0.2509
Te2 0.0057 0.5029 0.2502
# - Uncorrected energy: -7.18 eV/atom
# - Total magnetic moment: 17.75 μB per formula unit



Record 2
# Tb3Y2PuTe6, relaxed, DFT PBE
data_Tb3Y2PuTe6
_chemical_formula_sum 'Tb6 Y4 Pu2 Te12'
_cell_length_a 19.099
_cell_length_b 4.359
_cell_length_c 8.787
_cell_angle_alpha 90.00
_cell_angle_beta 103.34
_cell_angle_gamma 90.00
_space_group_name_H-M_alt 'C 1 2/m 1'
_space_group_IT_number 12
_space_group_name_Hall '-C 2y'
loop_
_atom_site_label
_atom_site_fract_x
_atom_site_fract_y
_atom_site_fract_z
Tb1 0.000 0.000 0.000
Tb2 0.165 0.500 0.334
Y1 0.163 0.500 0.828
Pu1 0.000 0.000 0.500
Te1 0.000 0.500 0.248
Te2 0.168 0.000 0.083
Te3 0.168 0.000 0.584
# - Uncorrected energy: -6.29 eV/atom
# - Total magnetic moment: 6.15 μB per formula unit



Record 3
# Tb2PuTh, relaxed, DFT PBE
data_Tb2PuTh
_chemical_formula_sum 'Tb8 Pu4 Th4'
_cell_length_a 7.939
_cell_length_b 7.939
_cell_length_c 7.939
_cell_angle_alpha 90.00
_cell_angle_beta 90.00
_cell_angle_gamma 90.00
_space_group_name_H-M_alt 'F m -3 m'
_space_group_IT_number 225
_space_group_name_Hall '-F 4 2 3'
loop_
_atom_site_label
_atom_site_fract_x
_atom_site_fract_y
_atom_site_fract_z
Tb1 0.250 0.250 0.250
Pu1 0.000 0.000 0.000
Th1 0.000 0.000 0.500
# - Energy above the most stable polymorph in this dataset: 134 meV/atom
# - Formation enthalpy at 0 K: 257 meV/atom
# - Total magnetic moment: 6.32 μB per formula unit



Record 4
# Tb12PuTh5, relaxed, DFT PBE
data_Tb12PuTh5
_chemical_formula_sum 'Tb24 Pu2 Th10'
_cell_length_a 5.018
_cell_length_b 15.100
_cell_length_c 15.143
_cell_angle_alpha 90.00
_cell_angle_beta 90.00
_cell_angle_gamma 90.00
_space_group_name_H-M_alt 'C m m m'
_space_group_IT_number 65
_space_group_name_Hall '-C 2 2'
loop_
_atom_site_label
_atom_site_fract_x
_atom_site_fract_y
_atom_site_fract_z
Tb1 0.000 0.000 0.161
Tb2 0.000 0.167 0.337
Tb3 0.000 0.334 0.160
Tb4 0.000 0.500 0.337
Pu1 0.000 0.500 0.000
Th1 0.000 0.000 0.500
Th2 0.000 0.165 0.000
Th3 0.000 0.333 0.500
# - Formation enthalpy at 0 K: 42 meV/atom
# - Total magnetic moment: 5.67 μB per formula unit



Record 5
# TbPuTh14, relaxed, DFT PBE
data_TbPuTh14
_chemical_formula_sum 'Tb2 Pu2 Th28'
_cell_length_a 11.545
_cell_length_b 7.164
_cell_length_c 12.353
_cell_angle_alpha 90.00
_cell_angle_beta 90.00
_cell_angle_gamma 90.00
_space_group_name_H-M_alt 'A m m 2'
_space_group_IT_number 38
_space_group_name_Hall 'A 2 -2'
loop_
_atom_site_label
_atom_site_fract_x
_atom_site_fract_y
_atom_site_fract_z
Tb1 0.000 0.000 0.000
Pu1 0.000 0.000 0.500
Th1 0.000 0.250 0.253
Th2 0.248 0.249 0.583
Th3 0.249 0.000 0.334
Th4 0.251 0.000 0.833
Th5 0.500 0.000 0.166
Th6 0.500 0.000 0.666
Th7 0.500 0.249 0.416
# - Formation enthalpy at 0 K: 43 meV/atom
# - Total magnetic moment: 5.69 μB per formula unit



Record 6
# TbPuTh, relaxed, DFT PBE
data_TbPuTh
_chemical_formula_sum 'Tb6 Pu6 Th6'
_cell_length_a 3.5399
_cell_length_b 3.5399
_cell_length_c 50.5685
_cell_angle_alpha 90.00
_cell_angle_beta 90.00
_cell_angle_gamma 120.00
_space_group_name_H-M_alt 'R -3 m'
_space_group_IT_number 166
_space_group_name_Hall '-R 3 2"'
loop_
_atom_site_label
_atom_site_fract_x
_atom_site_fract_y
_atom_site_fract_z
Tb1 0.0000 0.0000 0.1951
Pu1 0.0000 0.0000 0.0828
Th1 0.0000 0.0000 0.3620
# - Energy above the most stable polymorph in this dataset: 3 meV/atom
# - Formation enthalpy at 0 K: 116 meV/atom
# - Total magnetic moment: 6.01 μB per formula unit



Record 7
# TbPuTh2, relaxed, DFT PBE
data_TbPuTh2
_chemical_formula_sum 'Tb1 Pu1 Th2'
_cell_length_a 3.544
_cell_length_b 3.544
_cell_length_c 9.671
_cell_angle_alpha 90.00
_cell_angle_beta 90.00
_cell_angle_gamma 90.00
_space_group_name_H-M_alt 'P 4/m m m'
_space_group_IT_number 123
_space_group_name_Hall '-P 4 2'
loop_
_atom_site_label
_atom_site_fract_x
_atom_site_fract_y
_atom_site_fract_z
Tb1 0.000 0.000 0.000
Pu1 0.000 0.000 0.500
Th1 0.500 0.500 0.264
# - Energy above the most stable polymorph in this dataset: 2 meV/atom
# - Formation enthalpy at 0 K: 103 meV/atom
# - Total magnetic moment: 5.17 μB per formula unit



Record 8
# TbPuTh2, relaxed, DFT PBE
data_TbPuTh2
_chemical_formula_sum 'Tb3 Pu3 Th6'
_cell_length_a 3.5397
_cell_length_b 3.5397
_cell_length_c 34.1739
_cell_angle_alpha 90.00
_cell_angle_beta 90.00
_cell_angle_gamma 120.00
_space_group_name_H-M_alt 'R 3 m'
_space_group_IT_number 160
_space_group_name_Hall 'R 3 -2"'
loop_
_atom_site_label
_atom_site_fract_x
_atom_site_fract_y
_atom_site_fract_z
Tb1 0.0000 0.0000 0.0000
Pu1 0.0000 0.0000 0.1698
Th1 0.0000 0.0000 0.5820
Th2 0.0000 0.0000 0.7536
# - Energy above the most stable polymorph in this dataset: 12 meV/atom
# - Formation enthalpy at 0 K: 114 meV/atom
# - Total magnetic moment: 5.61 μB per formula unit



Record 9
# TbPuTh2, relaxed, DFT PBE
data_TbPuTh2
_chemical_formula_sum 'Tb4 Pu4 Th8'
_cell_length_a 7.865
_cell_length_b 7.865
_cell_length_c 7.865
_cell_angle_alpha 90.00
_cell_angle_beta 90.00
_cell_angle_gamma 90.00
_space_group_name_H-M_alt 'F m -3 m'
_space_group_IT_number 225
_space_group_name_Hall '-F 4 2 3'
loop_
_atom_site_label
_atom_site_fract_x
_atom_site_fract_y
_atom_site_fract_z
Tb1 0.000 0.000 0.000
Pu1 0.000 0.000 0.500
Th1 0.250 0.250 0.250
# - Energy above the most stable polymorph in this dataset: 90 meV/atom
# - Formation enthalpy at 0 K: 191 meV/atom
# - Total magnetic moment: 7.10 μB per formula unit



Record 10
# Tb2PuTh, relaxed, DFT PBE
data_Tb2PuTh
_chemical_formula_sum 'Tb2 Pu1 Th1'
_cell_length_a 4.885
_cell_length_b 4.885
_cell_length_c 5.097
_cell_angle_alpha 90.00
_cell_angle_beta 90.00
_cell_angle_gamma 90.00
_space_group_name_H-M_alt 'P 4/m m m'
_space_group_IT_number 123
_space_group_name_Hall '-P 4 2'
loop_
_atom_site_label
_atom_site_fract_x
_atom_site_fract_y
_atom_site_fract_z
Tb1 0.000 0.500 0.000
Pu1 0.000 0.000 0.500
Th1 0.500 0.500 0.500
# - Energy above the most stable polymorph in this dataset: 0 meV/atom
# - Formation enthalpy at 0 K: 124 meV/atom
# - Total magnetic moment: 6.38 μB per formula unit



Record 11
# Tb2PuTh, relaxed, DFT PBE
data_Tb2PuTh
_chemical_formula_sum 'Tb6 Pu3 Th3'
_cell_length_a 3.5245
_cell_length_b 3.5245
_cell_length_c 34.6546
_cell_angle_alpha 90.00
_cell_angle_beta 90.00
_cell_angle_gamma 120.00
_space_group_name_H-M_alt 'R 3 m'
_space_group_IT_number 160
_space_group_name_Hall 'R 3 -2"'
loop_
_atom_site_label
_atom_site_fract_x
_atom_site_fract_y
_atom_site_fract_z
Tb1 0.0000 0.0000 0.0000
Tb2 0.0000 0.0000 0.1698
Pu1 0.0000 0.0000 0.5850
Th1 0.0000 0.0000 0.7512
# - Energy above the most stable polymorph in this dataset: 3 meV/atom
# - Formation enthalpy at 0 K: 126 meV/atom
# - Total magnetic moment: 5.89 μB per formula unit



Record 12
# Tb14PuTh, relaxed, DFT PBE
data_Tb14PuTh
_chemical_formula_sum 'Tb14 Pu1 Th1'
_cell_length_a 7.110
_cell_length_b 7.110
_cell_length_c 10.029
_cell_angle_alpha 90.00
_cell_angle_beta 90.00
_cell_angle_gamma 90.00
_space_group_name_H-M_alt 'P 4/m m m'
_space_group_IT_number 123
_space_group_name_Hall '-P 4 2'
loop_
_atom_site_label
_atom_site_fract_x
_atom_site_fract_y
_atom_site_fract_z
Tb1 0.000 0.000 0.000
Tb2 0.000 0.500 0.000
Tb3 0.000 0.500 0.500
Tb4 0.250 0.250 0.253
Tb5 0.500 0.500 0.000
Pu1 0.000 0.000 0.500
Th1 0.500 0.500 0.500
# - Formation enthalpy at 0 K: 43 meV/atom
# - Total magnetic moment: 6.42 μB per formula unit



Record 13
# Tb5Pu3Th12, relaxed, DFT PBE
data_Tb5Pu3Th12
_chemical_formula_sum 'Tb40 Pu24 Th96'
_cell_length_a 18.320
_cell_length_b 18.320
_cell_length_c 18.320
_cell_angle_alpha 90.00
_cell_angle_beta 90.00
_cell_angle_gamma 90.00
_space_group_name_H-M_alt 'I a -3 d'
_space_group_IT_number 230
_space_group_name_Hall '-I 4bd 2c 3'
loop_
_atom_site_label
_atom_site_fract_x
_atom_site_fract_y
_atom_site_fract_z
Tb1 0.000 0.000 0.000
Tb2 0.000 0.250 0.375
Pu1 0.000 0.250 0.125
Th1 0.012 0.092 0.645
# - Formation enthalpy at 0 K: 1076 meV/atom
# - Total magnetic moment: 17.61 μB per formula unit



Record 14
# TbPuTh, relaxed, DFT PBE
data_TbPuTh
_chemical_formula_sum 'Tb2 Pu2 Th2'
_cell_length_a 3.533
_cell_length_b 3.533
_cell_length_c 14.480
_cell_angle_alpha 90.00
_cell_angle_beta 90.00
_cell_angle_gamma 90.00
_space_group_name_H-M_alt 'I 4 m m'
_space_group_IT_number 107
_space_group_name_Hall 'I 4 -2'
loop_
_atom_site_label
_atom_site_fract_x
_atom_site_fract_y
_atom_site_fract_z
Tb1 0.000 0.000 0.000
Pu1 0.000 0.000 0.327
Th1 0.000 0.000 0.672
# - Energy above the most stable polymorph in this dataset: 0 meV/atom
# - Formation enthalpy at 0 K: 114 meV/atom
# - Total magnetic moment: 5.63 μB per formula unit



Record 15
# TbPuTh2, relaxed, DFT PBE
data_TbPuTh2
_chemical_formula_sum 'Tb1 Pu1 Th2'
_cell_length_a 5.052
_cell_length_b 5.052
_cell_length_c 4.764
_cell_angle_alpha 90.00
_cell_angle_beta 90.00
_cell_angle_gamma 90.00
_space_group_name_H-M_alt 'P 4/m m m'
_space_group_IT_number 123
_space_group_name_Hall '-P 4 2'
loop_
_atom_site_label
_atom_site_fract_x
_atom_site_fract_y
_atom_site_fract_z
Tb1 0.000 0.000 0.000
Pu1 0.500 0.500 0.000
Th1 0.000 0.500 0.500
# - Energy above the most stable polymorph in this dataset: 0 meV/atom
# - Formation enthalpy at 0 K: 101 meV/atom
# - Total magnetic moment: 6.23 μB per formula unit



Record 16
# TbPu4Th, relaxed, DFT PBE
data_TbPu4Th
_chemical_formula_sum 'Tb4 Pu16 Th4'
_cell_length_a 8.705
_cell_length_b 8.705
_cell_length_c 8.705
_cell_angle_alpha 90.00
_cell_angle_beta 90.00
_cell_angle_gamma 90.00
_space_group_name_H-M_alt 'F -4 3 m'
_space_group_IT_number 216
_space_group_name_Hall 'F -4 2 3'
loop_
_atom_site_label
_atom_site_fract_x
_atom_site_fract_y
_atom_site_fract_z
Tb1 0.000 0.000 0.000
Pu1 0.125 0.125 0.625
Th1 0.250 0.250 0.250
# - Formation enthalpy at 0 K: 209 meV/atom
# - Total magnetic moment: 22.45 μB per formula unit



Record 17
# TbPuTh, relaxed, DFT PBE
data_TbPuTh
_chemical_formula_sum 'Tb1 Pu1 Th1'
_cell_length_a 5.6681
_cell_length_b 5.6681
_cell_length_c 3.2701
_cell_angle_alpha 90.00
_cell_angle_beta 90.00
_cell_angle_gamma 120.00
_space_group_name_H-M_alt 'P 3 m 1'
_space_group_IT_number 156
_space_group_name_Hall 'P 3 -2"'
loop_
_atom_site_label
_atom_site_fract_x
_atom_site_fract_y
_atom_site_fract_z
Tb1 0.0000 0.0000 0.0000
Pu1 0.3333 0.6667 0.4991
Th1 0.6667 0.3333 0.9985
# - Energy above the most stable polymorph in this dataset: 153 meV/atom
# - Formation enthalpy at 0 K: 267 meV/atom
# - Total magnetic moment: 5.71 μB per formula unit



Record 18
# Tb4PuTh, relaxed, DFT PBE
data_Tb4PuTh
_chemical_formula_sum 'Tb8 Pu2 Th2'
_cell_length_a 6.134
_cell_length_b 10.597
_cell_length_c 6.119
_cell_angle_alpha 90.00
_cell_angle_beta 110.40
_cell_angle_gamma 90.00
_space_group_name_H-M_alt 'C 1 2/m 1'
_space_group_IT_number 12
_space_group_name_Hall '-C 2y'
loop_
_atom_site_label
_atom_site_fract_x
_atom_site_fract_y
_atom_site_fract_z
Tb1 0.000 0.164 0.000
Tb2 0.000 0.336 0.500
Pu1 0.000 0.000 0.500
Th1 0.000 0.500 0.000
# - Formation enthalpy at 0 K: 84 meV/atom
# - Total magnetic moment: 6.73 μB per formula unit



Record 19
# Tb2PuTh, relaxed, DFT PBE
data_Tb2PuTh
_chemical_formula_sum 'Tb2 Pu1 Th1'
_cell_length_a 4.079
_cell_length_b 4.079
_cell_length_c 7.417
_cell_angle_alpha 90.00
_cell_angle_beta 90.00
_cell_angle_gamma 90.00
_space_group_name_H-M_alt 'P 4/m m m'
_space_group_IT_number 123
_space_group_name_Hall '-P 4 2'
loop_
_atom_site_label
_atom_site_fract_x
_atom_site_fract_y
_atom_site_fract_z
Tb1 0.000 0.000 0.237
Pu1 0.500 0.500 0.000
Th1 0.500 0.500 0.500
# - Energy above the most stable polymorph in this dataset: 83 meV/atom
# - Formation enthalpy at 0 K: 207 meV/atom
# - Total magnetic moment: 6.64 μB per formula unit



Record 20
# TbPuThTl, relaxed, DFT PBE
data_TbPuThTl
_chemical_formula_sum 'Tb4 Pu4 Th4 Tl4'
_cell_length_a 7.686
_cell_length_b 7.686
_cell_length_c 7.686
_cell_angle_alpha 90.00
_cell_angle_beta 90.00
_cell_angle_gamma 90.00
_space_group_name_H-M_alt 'F -4 3 m'
_space_group_IT_number 216
_space_group_name_Hall 'F -4 2 3'
loop_
_atom_site_label
_atom_site_fract_x
_atom_site_fract_y
_atom_site_fract_z
Tb1 0.000 0.000 0.000
Pu1 0.000 0.000 0.500
Th1 0.250 0.250 0.750
Tl1 0.250 0.250 0.250
# - Formation enthalpy at 0 K: 143 meV/atom
# - Total magnetic moment: 6.59 μB per formula unit



Record 21
# TbPuThZn, relaxed, DFT PBE
data_TbPuThZn
_chemical_formula_sum 'Tb4 Pu4 Th4 Zn4'
_cell_length_a 7.462
_cell_length_b 7.462
_cell_length_c 7.462
_cell_angle_alpha 90.00
_cell_angle_beta 90.00
_cell_angle_gamma 90.00
_space_group_name_H-M_alt 'F -4 3 m'
_space_group_IT_number 216
_space_group_name_Hall 'F -4 2 3'
loop_
_atom_site_label
_atom_site_fract_x
_atom_site_fract_y
_atom_site_fract_z
Tb1 0.000 0.000 0.000
Pu1 0.250 0.250 0.750
Th1 0.000 0.000 0.500
Zn1 0.250 0.250 0.250
# - Formation enthalpy at 0 K: 113 meV/atom
# - Total magnetic moment: 7.06 μB per formula unit



Record 22
# TbPu2Ti, relaxed, DFT PBE
data_TbPu2Ti
_chemical_formula_sum 'Tb1 Pu2 Ti1'
_cell_length_a 3.231
_cell_length_b 3.231
_cell_length_c 9.395
_cell_angle_alpha 90.00
_cell_angle_beta 90.00
_cell_angle_gamma 90.00
_space_group_name_H-M_alt 'P 4/m m m'
_space_group_IT_number 123
_space_group_name_Hall '-P 4 2'
loop_
_atom_site_label
_atom_site_fract_x
_atom_site_fract_y
_atom_site_fract_z
Tb1 0.000 0.000 0.000
Pu1 0.500 0.500 0.280
Ti1 0.000 0.000 0.500
# - Formation enthalpy at 0 K: 209 meV/atom
# - Total magnetic moment: 11.50 μB per formula unit